## Rb3Tb2HfTe6 (PBE)

Data for a relaxed Rb3Tb2HfTe6 crystal.

The value obtained for the uncorrected formation energy is -1193 meV/atom. For the total energy, the calculation gives -4.607 eV/atom. The total magnetic moment comes out at 0.000 μB per atom. The calculation puts the density of states at the Fermi level at 0.405 states/eV/atom.

a b c (Å): 7.6489 7.6489 8.9619
angles (deg): 98.20 98.20 120.01
Fractional positions:
Rb: 0.0000 0.0000 0.0000
Rb: 0.3279 0.6721 0.0000
Rb: 0.6721 0.3279 0.0000
Tb: 0.1659 0.8341 0.5000
Tb: 0.8341 0.1659 0.5000
Hf: 0.5000 0.5000 0.5000
Te: 0.1169 0.4344 0.3027
Te: 0.2498 0.2498 0.6993
Te: 0.4344 0.1169 0.3027
Te: 0.5656 0.8831 0.6973
Te: 0.7502 0.7502 0.3007
Te: 0.8831 0.5656 0.6973



## Rb3Tb3HfTe8 (PBE)

Data for a relaxed Rb3Tb3HfTe8 crystal.

The value obtained for the uncorrected formation energy is -1268 meV/atom. For the total energy, the calculation gives -4.726 eV/atom. The total magnetic moment comes out at 0.000 μB per atom.

a b c (Å): 10.1448 10.1448 10.1448
angles (deg): 51.58 51.58 51.58
Fractional positions:
Rb: 0.0000 0.5000 0.5000
Rb: 0.5000 0.0000 0.5000
Rb: 0.5000 0.5000 0.0000
Tb: 0.0000 0.0000 0.5000
Tb: 0.0000 0.5000 0.0000
Tb: 0.5000 0.0000 0.0000
Hf: 0.5000 0.5000 0.5000
Te: 0.2336 0.2336 0.2336
Te: 0.2473 0.7225 0.7225
Te: 0.2775 0.2775 0.7527
Te: 0.2775 0.7527 0.2775
Te: 0.7225 0.2473 0.7225
Te: 0.7225 0.7225 0.2473
Te: 0.7527 0.2775 0.2775
Te: 0.7664 0.7664 0.7664



## RbHfTc3 (PBE)

Data for a relaxed RbHfTc3 crystal.

The formation energy comes out at 2.7752 eV/atom. For the total energy, the calculation gives -5.629 eV/atom. The total magnetic moment comes out at 0.000 μB per atom. The calculation puts the density of states at the Fermi level at 1.303 states/eV/atom.

a b c (Å): 4.6330 4.6330 4.6330
angles (deg): 90.00 90.00 90.00
Fractional positions:
Rb: 0.0000 0.0000 0.0000
Hf: 0.5000 0.5000 0.5000
Tc: 0.0000 0.0000 0.5000
Tc: 0.0000 0.5000 0.0000
Tc: 0.5000 0.0000 0.0000



## Rb3HfTc (PBE)

Data for a relaxed Rb3HfTc crystal.

The formation energy comes out at 2.2647 eV/atom. For the total energy, the calculation gives -2.380 eV/atom. The total magnetic moment comes out at 0.000 μB per atom. The calculation puts the density of states at the Fermi level at 3.176 states/eV/atom.

a b c (Å): 6.0156 6.0156 6.0156
angles (deg): 90.00 90.00 90.00
Fractional positions:
Rb: 0.0000 0.0000 0.5000
Rb: 0.0000 0.5000 0.0000
Rb: 0.5000 0.0000 0.0000
Hf: 0.5000 0.5000 0.5000
Tc: 0.0000 0.0000 0.0000



## RbHfTc3 (PBE)

Data for a relaxed RbHfTc3 crystal.

The formation energy comes out at 1.8704 eV/atom. For the total energy, the calculation gives -6.533 eV/atom. The total magnetic moment comes out at 0.928 μB per atom. The calculation puts the density of states at the Fermi level at 1.034 states/eV/atom.

a b c (Å): 5.0103 5.0103 5.0103
angles (deg): 90.00 90.00 90.00
Fractional positions:
Rb: 0.0000 0.0000 0.0000
Hf: 0.5000 0.5000 0.5000
Tc: 0.0000 0.5000 0.5000
Tc: 0.5000 0.0000 0.5000
Tc: 0.5000 0.5000 0.0000



## RbHfTe3 (PBE)

Data for a relaxed RbHfTe3 crystal.

The value obtained for the uncorrected formation energy is -720 meV/atom. For the total energy, the calculation gives -4.790 eV/atom. The total magnetic moment comes out at 0.000 μB per atom. The calculation puts the density of states at the Fermi level at 0.442 states/eV/atom.

a b c (Å): 5.6691 5.6691 5.6691
angles (deg): 90.00 90.00 90.00
Fractional positions:
Rb: 0.0000 0.0000 0.0000
Hf: 0.5000 0.5000 0.5000
Te: 0.0000 0.5000 0.5000
Te: 0.5000 0.0000 0.5000
Te: 0.5000 0.5000 0.0000